First-principles (GGA-PBE) data for an optimized crystal structure of In2TePb, as listed in Alexandria.

distance to the lowest polymorph of the same formula: 0 meV per atom
calculated density: 7.49 Mg/m³
formation energy from raw total energies: -0.0849 eV/atom
total magnetic moment: 0.0000 μB per atom

Lattice parameters (Å, degrees): 8.448 8.448 8.448 28.97 28.97 28.97
Positions (direct):
In1 0.246 0.246 0.246
In2 0.754 0.754 0.754
Te1 0.500 0.500 0.500
Pb1 0.000 0.000 0.000

=====

First-principles (GGA-PBE) data for an optimized crystal structure of TbPmPtRh, as listed in Alexandria.

distance to the lowest polymorph of the same formula: 0 meV per atom
calculated density: 11.03 Mg/m³
total magnetic moment: 0.0000 μB per atom
energy relative to the elements: -3.990 eV/f.u.

Lattice parameters (Å, degrees): 4.384 5.698 5.698 39.54 90.00 90.00
Positions (direct):
Tb1 0.000 0.000 0.000
Pm1 0.500 0.719 0.719
Pt1 0.000 0.278 0.278
Rh1 0.500 0.453 0.453

=====

First-principles (GGA-PBE) data for an optimized crystal structure of Na2SiTe4, as listed in Alexandria.

distance to the lowest polymorph of the same formula: 215 meV per atom
calculated density: 4.16 Mg/m³
formation energy from raw total energies: -0.0853 eV/atom
total magnetic moment: 0.0000 μB per atom

Lattice parameters (Å, degrees): 8.746 8.746 8.746 143.70 143.70 52.28
Positions (direct):
Na1 0.130 0.130 0.000
Na2 0.870 0.870 0.000
Si1 0.500 0.500 0.000
Te1 0.000 0.500 0.500
Te2 0.335 0.335 0.000
Te3 0.500 0.000 0.500
Te4 0.665 0.665 0.000

=====

First-principles (GGA-PBE) data for an optimized crystal structure of K2BaTaBr, as listed in Alexandria.

calculated density: 2.81 Mg/m³
formation energy from raw total energies: 1.0955 eV/atom
total magnetic moment: 0.4436 μB per atom

Lattice parameters (Å, degrees): 7.238 7.238 5.376 90.00 90.00 90.00
Positions (direct):
K1 0.000 0.500 0.000
K2 0.500 0.000 0.000
Ba1 0.000 0.000 0.000
Ta1 0.000 0.000 0.500
Br1 0.500 0.500 0.500

=====

First-principles (GGA-PBE) data for an optimized crystal structure of MnTl2AgCl5, as listed in Alexandria.

calculated density: 4.89 Mg/m³
formation energy from raw total energies: -0.9056 eV/atom
total magnetic moment: 0.5555 μB per atom

Lattice parameters (Å, degrees): 9.805 9.805 13.245 90.00 90.00 156.47
Positions (direct):
Mn1 0.217 0.783 0.500
Mn2 0.783 0.217 0.000
Tl1 0.115 0.885 0.167
Tl2 0.130 0.870 0.785
Tl3 0.870 0.130 0.285
Tl4 0.885 0.115 0.667
Ag1 0.443 0.557 0.915
Ag2 0.557 0.443 0.415
Cl1 0.087 0.913 0.531
Cl2 0.278 0.722 0.129
Cl3 0.296 0.704 0.871
Cl4 0.345 0.655 0.486
Cl5 0.496 0.504 0.252
Cl6 0.504 0.496 0.752
Cl7 0.655 0.345 0.986
Cl8 0.704 0.296 0.371
Cl9 0.722 0.278 0.629
Cl10 0.913 0.087 0.031

=====

First-principles (GGA-PBE) data for an optimized crystal structure of CsAs2AuSe, as listed in Alexandria.

distance to the lowest polymorph of the same formula: 0 meV per atom
calculated density: 6.22 Mg/m³
formation energy from raw total energies: 0.2293 eV/atom
total magnetic moment: 0.1927 μB per atom

Lattice parameters (Å, degrees): 5.175 5.175 5.569 90.00 90.00 90.00
Positions (direct):
Cs1 0.000 0.000 0.000
As1 0.000 0.500 0.500
As2 0.500 0.000 0.500
Au1 0.500 0.500 0.500
Se1 0.500 0.500 0.000

=====

First-principles (GGA-PBE) data for an optimized crystal structure of Dy5Al4Zn, as listed in Alexandria.

calculated density: 7.06 Mg/m³
total magnetic moment: 0.0000 μB per atom
energy relative to the elements: -3.910 eV/f.u.

Lattice parameters (Å, degrees): 3.584 3.584 18.066 90.00 90.00 90.00
Positions (direct):
Dy1 0.000 0.000 0.000
Dy2 0.000 0.000 0.201
Dy3 0.000 0.000 0.403
Dy4 0.000 0.000 0.597
Dy5 0.000 0.000 0.799
Al1 0.500 0.500 0.100
Al2 0.500 0.500 0.302
Al3 0.500 0.500 0.698
Al4 0.500 0.500 0.900
Zn1 0.500 0.500 0.500

=====

First-principles (GGA-PBE) data for an optimized crystal structure of Zn6Ag5Hg, as listed in Alexandria.

calculated density: 9.42 Mg/m³
total magnetic moment: 0.0000 μB per atom
energy relative to the elements: 0.028 eV/f.u.

Lattice parameters (Å, degrees): 4.231 7.568 6.568 90.00 108.37 90.00
Positions (direct):
Zn1 0.000 0.242 0.000
Zn2 0.000 0.758 0.000
Zn3 0.330 0.245 0.659
Zn4 0.330 0.755 0.659
Zn5 0.670 0.245 0.341
Zn6 0.670 0.755 0.341
Ag1 0.166 0.000 0.331
Ag2 0.168 0.500 0.338
Ag3 0.500 0.000 0.000
Ag4 0.832 0.500 0.662
Ag5 0.834 0.000 0.669
Hg1 0.500 0.500 0.000

=====

First-principles (GGA-PBE) data for an optimized crystal structure of Tl4AuO, as listed in Alexandria.

calculated density: 9.80 Mg/m³
formation energy from raw total energies: -0.2482 eV/atom
total magnetic moment: 0.0000 μB per atom

Lattice parameters (Å, degrees): 7.165 6.857 7.183 90.00 98.50 90.00
Positions (direct):
Tl1 0.007 0.250 0.083
Tl2 0.099 0.750 0.419
Tl3 0.473 0.003 0.766
Tl4 0.473 0.497 0.766
Tl5 0.527 0.503 0.234
Tl6 0.527 0.997 0.234
Tl7 0.901 0.250 0.581
Tl8 0.993 0.750 0.917
Au1 0.274 0.250 0.443
Au2 0.726 0.750 0.557
O1 0.242 0.750 0.742
O2 0.758 0.250 0.258

=====

First-principles (GGA-PBE) data for an optimized crystal structure of MnIn2Cl, as listed in Alexandria.

distance to the lowest polymorph of the same formula: 187 meV per atom
calculated density: 5.62 Mg/m³
formation energy from raw total energies: 0.0517 eV/atom
total magnetic moment: 1.0717 μB per atom

Lattice parameters (Å, degrees): 3.239 5.106 5.713 90.00 90.00 90.00
Positions (direct):
Mn1 0.000 0.000 0.000
In1 0.000 0.500 0.500
In2 0.500 0.500 0.000
Cl1 0.500 0.000 0.500

=====

First-principles (GGA-PBE) data for an optimized crystal structure of LaNp5P6, as listed in Alexandria.

calculated density: 9.15 Mg/m³
total magnetic moment: 1.5615 μB per atom
energy relative to the elements: -11.563 eV/f.u.

Lattice parameters (Å, degrees): 6.945 6.945 6.962 99.60 99.60 120.01
Positions (direct):
La1 0.000 0.000 0.000
Np1 0.162 0.838 0.500
Np2 0.332 0.668 0.000
Np3 0.500 0.500 0.500
Np4 0.668 0.332 0.000
Np5 0.838 0.162 0.500
P1 0.087 0.433 0.259
P2 0.262 0.262 0.746
P3 0.433 0.087 0.259
P4 0.567 0.913 0.741
P5 0.738 0.738 0.254
P6 0.913 0.567 0.741

=====

First-principles (GGA-PBE) data for an optimized crystal structure of ThPaAg, as listed in Alexandria.

distance to the lowest polymorph of the same formula: 0 meV per atom
calculated density: 12.21 Mg/m³
total magnetic moment: 0.0053 μB per atom
energy relative to the elements: 0.472 eV/f.u.

Lattice parameters (Å, degrees): 7.674 7.674 7.674 155.50 155.50 34.92
Positions (direct):
Th1 0.000 0.000 0.000
Pa1 0.680 0.680 0.000
Ag1 0.336 0.336 0.000